DFT (PBE+U) results for a geometry-optimized Mn2Nb4Zn3O16 structure.

Unit cell a=5.1927 b=5.9435 c=9.9473 alpha=102.29 beta=89.41 gamma=91.51
With the nearest neighbours (Å) after each atom.
Positions (direct):
Mn: 0.2465 0.6402 0.9940  4 O 1.94-2.01
Mn: 0.7577 0.3456 0.9970  4 O 1.95-1.99
Nb: 0.2568 0.0563 0.7766  5 O 1.91-2.13
Nb: 0.2371 0.2864 0.2513  4 O 1.89-2.03
Nb: 0.7305 0.9454 0.2195  4 O 1.88-2.06
Nb: 0.7626 0.7059 0.7475  4 O 1.89-2.08
Zn: 0.2303 0.8703 0.4656  4 O 2.01-2.10
Zn: 0.7797 0.1328 0.5547  4 O 1.96-2.18
Zn: 0.7167 0.5534 0.4350  4 O 1.97-2.02
O: 0.9320 0.0392 0.8678  1 Nb 1.92
O: 0.5769 0.1969 0.1324  1 Mn 1.98, 2 Nb 2.06-2.13
O: 0.0582 0.9596 0.1357  1 Nb 1.89
O: 0.4163 0.7991 0.8648  1 Mn 1.94, 2 Nb 2.11-2.15
O: 0.4466 0.3135 0.8865  1 Nb 1.93, 1 Mn 1.95
O: 0.0777 0.4339 0.1062  2 Mn 1.99-2.01, 1 Nb 2.03
O: 0.5595 0.6889 0.1096  1 Nb 1.88, 1 Mn 1.98
O: 0.9235 0.5554 0.8882  2 Mn 1.98-1.99, 1 Nb 2.01
O: 0.5701 0.9247 0.6466  1 Zn 1.99, 2 Nb 2.08-2.13
O: 0.9144 0.2763 0.3507  1 Nb 1.94, 1 Zn 1.99
O: 0.6517 0.4468 0.6119  1 Nb 1.90, 2 Zn 1.96-2.02
O: 0.8547 0.8391 0.3868  3 Zn 1.97-2.18, 1 Nb 2.02
O: 0.3600 0.5631 0.3664  1 Nb 1.89, 2 Zn 1.99-2.01
O: 0.1427 0.1588 0.6183  1 Nb 1.91, 2 Zn 1.99-2.09
O: 0.0668 0.7397 0.6474  1 Nb 1.89
O: 0.4155 0.0697 0.3478  2 Nb 2.01-2.11, 1 Zn 2.05

Total magnetization = 0.32 μB/atom
Total DFT energy (no corrections) = -7.58 eV per atom